1.
This record from Alexandria via LeMat-Bulk describes PmYTm4S8 after structural relaxation. The functional is PBE.

```
data_PmYTm4S8
_chemical_formula_sum 'Pm1 Y1 Tm4 S8'
_cell_length_a 8.0250
_cell_length_b 8.0250
_cell_length_c 8.0250
_cell_angle_alpha 59.76
_cell_angle_beta 59.76
_cell_angle_gamma 59.76
_space_group_name_H-M_alt 'P 1'
_space_group_IT_number 1
loop_
_space_group_symop_operation_xyz
'x,y,z'
loop_
_atom_site_label
_atom_site_type_symbol
_atom_site_fract_x
_atom_site_fract_y
_atom_site_fract_z
Pm1 Pm 0.0000 0.0000 0.0000
Y1 Y 0.3747 0.3747 0.3747
Tm1 Tm 0.3746 0.3746 0.8722
Tm2 Tm 0.3746 0.8722 0.3746
Tm3 Tm 0.7485 0.7485 0.7485
Tm4 Tm 0.8722 0.3746 0.3746
S1 S 0.1323 0.1323 0.5915
S2 S 0.1323 0.5915 0.1323
S3 S 0.1363 0.1363 0.1363
S4 S 0.1435 0.6202 0.6202
S5 S 0.5915 0.1323 0.1323
S6 S 0.6165 0.6165 0.6165
S7 S 0.6202 0.1435 0.6202
S8 S 0.6202 0.6202 0.1435
```

Calculated values
* formation energy from raw total energies: -26.88 eV per formula unit
* mass density: 5.33 g cm⁻³
* space group: R3m, No. 160

---

2.
This record from Alexandria via LeMat-Bulk describes Pu6GaGe2 after structural relaxation. The functional is PBE.

```
data_Pu6GaGe2
_chemical_formula_sum 'Pu6 Ga1 Ge2'
_cell_length_a 8.6984
_cell_length_b 8.6984
_cell_length_c 3.1402
_cell_angle_alpha 90.00
_cell_angle_beta 90.00
_cell_angle_gamma 120.00
_space_group_name_H-M_alt 'P 1'
_space_group_IT_number 1
loop_
_space_group_symop_operation_xyz
'x,y,z'
loop_
_atom_site_label
_atom_site_type_symbol
_atom_site_fract_x
_atom_site_fract_y
_atom_site_fract_z
Pu1 Pu 0.0000 0.3345 0.0000
Pu2 Pu 0.0000 0.6655 0.0000
Pu3 Pu 0.3345 0.0000 0.0000
Pu4 Pu 0.3345 0.3345 0.0000
Pu5 Pu 0.6655 0.0000 0.0000
Pu6 Pu 0.6655 0.6655 0.0000
Ga1 Ga 0.0000 0.0000 0.5000
Ge1 Ge 0.3333 0.6667 0.5000
Ge2 Ge 0.6667 0.3333 0.5000
```

Calculated values
* ΔE_f: -1.84 kcal/mol of atoms
* mass density: 13.55 g cm⁻³
* space group: P6/mmm, No. 191

---

3.
This record from Alexandria via LeMat-Bulk describes Ta4Nb4Re after structural relaxation. The functional is PBE.

```
data_Ta4Nb4Re
_chemical_formula_sum 'Ta4 Nb4 Re1'
_cell_length_a 7.1864
_cell_length_b 7.1864
_cell_length_c 7.1864
_cell_angle_alpha 92.95
_cell_angle_beta 92.95
_cell_angle_gamma 153.78
_space_group_name_H-M_alt 'P 1'
_space_group_IT_number 1
loop_
_space_group_symop_operation_xyz
'x,y,z'
loop_
_atom_site_label
_atom_site_type_symbol
_atom_site_fract_x
_atom_site_fract_y
_atom_site_fract_z
Ta1 Ta 0.1620 0.1620 0.3240
Ta2 Ta 0.1620 0.8380 0.0000
Ta3 Ta 0.8380 0.1620 0.0000
Ta4 Ta 0.8380 0.8380 0.6760
Nb1 Nb 0.1663 0.5000 0.6663
Nb2 Nb 0.5000 0.1663 0.6663
Nb3 Nb 0.5000 0.8337 0.3337
Nb4 Nb 0.8337 0.5000 0.3337
Re1 Re 0.5000 0.5000 0.0000
```

Calculated values
* ΔE_f: -2.93 kcal/mol of atoms
* mass density: 13.32 g cm⁻³
* space group: I4/mmm, No. 139

---

4.
This record from Alexandria via LeMat-Bulk describes Er2UAs3 after structural relaxation. The functional is PBE.

```
data_Er2UAs3
_chemical_formula_sum 'Er4 U2 As6'
_cell_length_a 4.0861
_cell_length_b 4.0861
_cell_length_c 17.2574
_cell_angle_alpha 90.00
_cell_angle_beta 90.00
_cell_angle_gamma 90.00
_space_group_name_H-M_alt 'P 1'
_space_group_IT_number 1
loop_
_space_group_symop_operation_xyz
'x,y,z'
loop_
_atom_site_label
_atom_site_type_symbol
_atom_site_fract_x
_atom_site_fract_y
_atom_site_fract_z
Er1 Er 0.0000 0.0000 0.1676
Er2 Er 0.0000 0.0000 0.8324
Er3 Er 0.5000 0.5000 0.3324
Er4 Er 0.5000 0.5000 0.6676
U1 U 0.0000 0.0000 0.5000
U2 U 0.5000 0.5000 0.0000
As1 As 0.0000 0.0000 0.0000
As2 As 0.0000 0.0000 0.3340
As3 As 0.0000 0.0000 0.6660
As4 As 0.5000 0.5000 0.1660
As5 As 0.5000 0.5000 0.5000
As6 As 0.5000 0.5000 0.8340
```

Calculated values
* ΔE_f: -28.90 kcal/mol of atoms
* mass density: 9.19 g cm⁻³
* space group: I4/mmm, No. 139

---

no.,calculated volume (Å³/atom)
1,26.0
2,22.9
3,17.7
4,24.0